{
  "formula": "CrFeMoRh",
  "functional": "GGA-PBE",
  "state": "relaxed",
  "sg": "F-43m (216)",
  "cell": [[6.028, 0.000, 0.000], [0.000, 6.028, 0.000], [0.000, 0.000, 6.028]],
  "species": ["Cr", "Cr", "Cr", "Cr", "Fe", "Fe", "Fe", "Fe", "Mo", "Mo", "Mo", "Mo", "Rh", "Rh", "Rh", "Rh"],
  "frac_coords": [[0.000, 0.000, 0.000], [0.000, 0.500, 0.500], [0.500, 0.000, 0.500], [0.500, 0.500, 0.000], [0.000, 0.000, 0.500], [0.000, 0.500, 0.000], [0.500, 0.000, 0.000], [0.500, 0.500, 0.500], [0.250, 0.250, 0.750], [0.250, 0.750, 0.250], [0.750, 0.250, 0.250], [0.750, 0.750, 0.750], [0.250, 0.250, 0.250], [0.250, 0.750, 0.750], [0.750, 0.250, 0.750], [0.750, 0.750, 0.250]]
}

***

{
  "formula": "CrFeMoRu",
  "functional": "GGA-PBE",
  "state": "relaxed",
  "sg": "F-43m (216)",
  "cell": [[5.988, 0.000, 0.000], [0.000, 5.988, 0.000], [0.000, 0.000, 5.988]],
  "species": ["Cr", "Cr", "Cr", "Cr", "Fe", "Fe", "Fe", "Fe", "Mo", "Mo", "Mo", "Mo", "Ru", "Ru", "Ru", "Ru"],
  "frac_coords": [[0.000, 0.000, 0.000], [0.000, 0.500, 0.500], [0.500, 0.000, 0.500], [0.500, 0.500, 0.000], [0.000, 0.000, 0.500], [0.000, 0.500, 0.000], [0.500, 0.000, 0.000], [0.500, 0.500, 0.500], [0.250, 0.250, 0.750], [0.250, 0.750, 0.250], [0.750, 0.250, 0.250], [0.750, 0.750, 0.750], [0.250, 0.250, 0.250], [0.250, 0.750, 0.750], [0.750, 0.250, 0.750], [0.750, 0.750, 0.250]]
}

***

{
  "formula": "CrFeMo2S",
  "functional": "GGA-PBE",
  "state": "relaxed",
  "e_form_raw_mev_per_atom": 1388,
  "sg": "P4/mmm (123)",
  "cell": [[4.496, 0.000, 0.000], [0.000, 4.496, 0.000], [0.000, 0.000, 4.296]],
  "species": ["Cr", "Fe", "Mo", "Mo", "S"],
  "frac_coords": [[0.000, 0.000, 0.000], [0.000, 0.000, 0.500], [0.000, 0.500, 0.000], [0.500, 0.000, 0.000], [0.500, 0.500, 0.500]]
}

***

Calculated uncorrected energy (hartree per atom), listed in the same order as above: -0.3299, -0.3458, -0.2715